The following is a PBE calculation of crystalline Ta2Nb4S3N3 at its relaxed geometry, from OQMD.

## Properties
The value obtained for the calculated volume is 163.8 Å³/f.u. The calculation puts the total energy at -222.28 eV/cell. The space group is No. 15.

Lattice parameters (Å, degrees): 5.7069 5.7069 12.1028 103.18 103.18 59.46
With the nearest neighbours (Å) after each atom.
Sites, in units of the cell vectors:
Ta 0.0383 0.8293 0.5891  3 N 2.03-2.14
Ta 0.1707 0.9617 0.9109  3 N 2.03-2.14
Ta 0.8293 0.0383 0.0891  3 N 2.03-2.14
Ta 0.9617 0.1707 0.4109  3 N 2.03-2.14
Nb 0.2072 0.3921 0.1015  3 N 2.20-2.34
Nb 0.3317 0.4414 0.3998  3 N 2.21-2.33
Nb 0.3921 0.2072 0.6015  3 N 2.20-2.34
Nb 0.4414 0.3317 0.8998  3 N 2.21-2.33
Nb 0.5586 0.6683 0.1002  3 N 2.21-2.33
Nb 0.6079 0.7928 0.3985  3 N 2.20-2.34
Nb 0.6683 0.5586 0.6002  3 N 2.21-2.33
Nb 0.7928 0.6079 0.8985  3 N 2.20-2.34
S 0.0837 0.2429 0.7473  4 Nb 2.56-2.69, 2 Ta 2.63-2.76
S 0.2429 0.0837 0.2473  4 Nb 2.56-2.69, 2 Ta 2.63-2.76
S 0.4059 0.5941 0.7500  4 Nb 2.52-2.53, 2 Ta 2.54
S 0.5941 0.4059 0.2500  4 Nb 2.52-2.53, 2 Ta 2.54
S 0.7571 0.9163 0.7527  4 Nb 2.56-2.69, 2 Ta 2.63-2.76
S 0.9163 0.7571 0.2527  4 Nb 2.56-2.69, 2 Ta 2.63-2.76
N 0.0000 0.5000 0.5000  2 Ta 2.03
N 0.1464 0.6984 0.0004  2 Ta 2.11-2.14, 4 Nb 2.20-2.34
N 0.3016 0.8536 0.4996  2 Ta 2.11-2.14, 4 Nb 2.20-2.34
N 0.5000 0.0000 0.0000  2 Ta 2.03
N 0.6984 0.1464 0.5004  2 Ta 2.11-2.14, 4 Nb 2.20-2.34
N 0.8536 0.3016 0.9996  2 Ta 2.11-2.14, 4 Nb 2.20-2.34



The following is a PBE calculation of crystalline SmBi at its relaxed geometry, from OQMD.

## Properties
The value obtained for the calculated volume is 59.9 Å³/f.u. The calculation puts the total energy at -10.23 eV/cell. As for the distance to the lowest polymorph of the same formula: 210 meV/atom. The space group is No. 123.

Lattice parameters (Å, degrees): 4.1530 4.1530 3.4715 90.00 90.00 90.00
With the nearest neighbours (Å) after each atom.
Sites, in units of the cell vectors:
Sm 0.0000 0.0000 0.0000  8 Bi 3.41, 2 Sm 3.47
Bi 0.5000 0.5000 0.5000  8 Sm 3.41, 2 Bi 3.47



The following is a PBE calculation of crystalline Ta3AgGe5 at its relaxed geometry, from OQMD.

## Properties
The value obtained for the calculated volume is 180.3 Å³/f.u. The calculation puts the total energy at -59.60 eV/cell. The space group is No. 191.

Lattice parameters (Å, degrees): 5.5475 5.5475 6.7636 90.00 90.00 120.00
With the nearest neighbours (Å) after each atom.
Sites, in units of the cell vectors:
Ta 0.0000 0.5000 0.0000  6 Ge 2.70-2.77, 4 Ta 2.77
Ta 0.5000 0.0000 0.0000  6 Ge 2.70-2.77, 4 Ta 2.77
Ta 0.5000 0.5000 0.0000  6 Ge 2.70-2.77, 4 Ta 2.77
Ag 0.0000 0.0000 0.5000  14 Ge 3.38-3.42
Ge 0.0000 0.0000 0.0000  6 Ta 2.77
Ge 0.3333 0.6667 0.3207  1 Ge 2.42, 3 Ta 2.70
Ge 0.3333 0.6667 0.6793  1 Ge 2.42, 3 Ta 2.70
Ge 0.6667 0.3333 0.3207  1 Ge 2.42, 3 Ta 2.70
Ge 0.6667 0.3333 0.6793  1 Ge 2.42, 3 Ta 2.70



The following is a PBE calculation of crystalline DyAuSeO at its relaxed geometry, from OQMD.

## Properties
The value obtained for the calculated volume is 73.7 Å³/f.u. The calculation puts the total energy at -95.00 eV/cell. As for the distance to the lowest polymorph of the same formula: 55 meV/atom. The space group is No. 100.

Lattice parameters (Å, degrees): 5.5576 5.5576 9.5471 90.00 90.00 90.00
With the nearest neighbours (Å) after each atom.
Sites, in units of the cell vectors:
Dy 0.0000 0.0000 0.0000  4 O 2.26
Dy 0.0000 0.5000 0.2333  4 O 2.25-2.26
Dy 0.5000 0.0000 0.2333  4 O 2.25-2.26
Dy 0.5000 0.5000 0.0000  4 O 2.26
Au 0.1822 0.3178 0.6079  3 Se 2.63-2.83, 5 Au 2.86-2.88
Au 0.3178 0.8178 0.6079  3 Se 2.63-2.83, 5 Au 2.86-2.88
Au 0.6822 0.1822 0.6079  3 Se 2.63-2.83, 5 Au 2.86-2.88
Au 0.8178 0.6822 0.6079  3 Se 2.63-2.83, 5 Au 2.86-2.88
Se 0.0000 0.0000 0.4019  4 Au 2.83
Se 0.0000 0.5000 0.8390  2 Au 2.63
Se 0.5000 0.0000 0.8390  2 Au 2.63
Se 0.5000 0.5000 0.4019  4 Au 2.83
O 0.2489 0.2511 0.1178  4 Dy 2.25-2.26
O 0.2511 0.7511 0.1178  4 Dy 2.25-2.26
O 0.7489 0.2489 0.1178  4 Dy 2.25-2.26
O 0.7511 0.7489 0.1178  4 Dy 2.25-2.26



The following is a PBE calculation of crystalline DyPb2O4 at its relaxed geometry, from OQMD.

## Properties
The value obtained for the calculated volume is 122.8 Å³/f.u. The calculation puts the total energy at -87.50 eV/cell. The space group is No. 141.

Lattice parameters (Å, degrees): 7.0269 7.0269 7.0269 119.92 119.92 90.14
With the nearest neighbours (Å) after each atom.
Sites, in units of the cell vectors:
Dy 0.3750 0.6250 0.7500  4 O 2.17
Dy 0.6250 0.3750 0.2500  4 O 2.17
Pb 0.0000 0.0000 0.0000  6 O 2.48
Pb 0.0000 0.0000 0.5000  6 O 2.48
Pb 0.0000 0.5000 0.0000  6 O 2.48
Pb 0.5000 0.0000 0.5000  6 O 2.48
O 0.2476 0.2495 0.9981  1 Dy 2.17
O 0.2495 0.2476 0.4981  1 Dy 2.17
O 0.2495 0.7513 0.0019  1 Dy 2.17
O 0.2487 0.7505 0.4981  1 Dy 2.17
O 0.7513 0.2495 0.5019  1 Dy 2.17
O 0.7505 0.2487 0.9981  1 Dy 2.17
O 0.7505 0.7524 0.5019  1 Dy 2.17
O 0.7524 0.7505 0.0019  1 Dy 2.17



The following is a PBE calculation of crystalline Nd2Sc2BI5 at its relaxed geometry, from OQMD.

## Properties
The value obtained for the calculated volume is 368.9 Å³/f.u. The calculation puts the total energy at -47.13 eV/cell. The space group is No. 12.

Lattice parameters (Å, degrees): 10.7270 10.7270 8.9097 101.68 101.68 21.57
With the nearest neighbours (Å) after each atom.
Sites, in units of the cell vectors:
Nd 0.0000 0.0000 0.2030  2 B 2.70
Nd 0.0000 0.0000 0.7970  2 B 2.70
Sc 0.3862 0.3862 0.9442  1 B 2.35
Sc 0.6138 0.6138 0.0558  1 B 2.35
B 0.5000 0.5000 0.0000  2 Sc 2.35
I 0.1558 0.1558 0.3032  2 Sc 2.98, 1 Nd 3.22
I 0.1560 0.1560 0.8489  2 Sc 2.98, 1 Nd 3.22
I 0.5000 0.5000 0.5000  4 Nd 3.32
I 0.8440 0.8440 0.1511  2 Sc 2.98, 1 Nd 3.22
I 0.8442 0.8442 0.6968  2 Sc 2.98, 1 Nd 3.22



The following is a PBE calculation of crystalline Zr2Tl2O5 at its relaxed geometry, from OQMD.

## Properties
The value obtained for the calculated volume is 122.0 Å³/f.u. The calculation puts the total energy at -53.17 eV/cell. As for the distance to the lowest polymorph of the same formula: 1521 meV/atom. The space group is No. 123.

Lattice parameters (Å, degrees): 3.6460 3.6460 9.1758 90.00 90.00 90.00
With the nearest neighbours (Å) after each atom.
Sites, in units of the cell vectors:
Zr 0.0000 0.0000 0.0000  8 Tl 3.15
Zr 0.0000 0.0000 0.5000  12 O 2.35-2.58
Tl 0.5000 0.5000 0.1981  4 O 2.23
Tl 0.5000 0.5000 0.8019  4 O 2.23
O 0.0000 0.5000 0.3383  2 Tl 2.23, 2 O 2.35, 2 Zr 2.35
O 0.0000 0.5000 0.6617  2 Tl 2.23, 2 O 2.35, 2 Zr 2.35
O 0.5000 0.0000 0.3383  2 Tl 2.23, 2 O 2.35, 2 Zr 2.35
O 0.5000 0.0000 0.6617  2 Tl 2.23, 2 O 2.35, 2 Zr 2.35
O 0.5000 0.5000 0.5000  8 O 2.35, 4 Zr 2.58



The following is a PBE calculation of crystalline DyBiPO at its relaxed geometry, from OQMD.

## Properties
The value obtained for the calculated volume is 95.6 Å³/f.u. The calculation puts the total energy at -48.26 eV/cell. As for the distance to the lowest polymorph of the same formula: 0 meV/atom. The space group is No. 26.

Lattice parameters (Å, degrees): 3.9022 8.2414 5.9427 90.00 90.00 90.00
With the nearest neighbours (Å) after each atom.
Sites, in units of the cell vectors:
Dy 0.0000 0.1581 0.0000  2 O 2.11
Dy 0.0000 0.8419 0.5000  2 O 2.11
Bi 0.5000 0.4079 0.5062  2 P 2.70, 1 O 2.77
Bi 0.5000 0.5921 0.0062  2 P 2.70, 1 O 2.77
P 0.0000 0.1819 0.5010  2 Bi 2.70, 3 Dy 2.80-2.98
P 0.0000 0.8181 0.0010  2 Bi 2.70, 3 Dy 2.80-2.98
O 0.5000 0.2554 0.0005  2 Dy 2.11
O 0.5000 0.7446 0.5005  2 Dy 2.11



- Among the records above, which one has the lowest calculated volume?
  SmBi



- What is the calculated volume in the third record?
  180.3 Å³/f.u.